Arrangement i

This record from Alexandria via LeMat-Bulk describes a geometry-optimized Sm4Te3 structure. The functional is PBE-GGA.

Unit cell a=8.0700 b=8.0700 c=8.0700 alpha=109.47 beta=109.47 gamma=109.47
Fractional positions:
Sm (0.0000, 0.3562, 0.5000)
Sm (0.0000, 0.8562, 0.5000)
Sm (0.1438, 0.1438, 0.1438)
Sm (0.3562, 0.5000, 0.0000)
Sm (0.5000, 0.0000, 0.3562)
Sm (0.5000, 0.0000, 0.8562)
Sm (0.6438, 0.6438, 0.6438)
Sm (0.8562, 0.5000, 0.0000)
Te (0.1250, 0.7500, 0.8750)
Te (0.2500, 0.6250, 0.3750)
Te (0.3750, 0.2500, 0.6250)
Te (0.6250, 0.3750, 0.2500)
Te (0.7500, 0.8750, 0.1250)
Te (0.8750, 0.1250, 0.7500)

Calculated values
* M_tot: 0.0 μB per formula unit

***

Arrangement ii

This record from Alexandria via LeMat-Bulk describes a geometry-optimized Sm4Te3 structure. The functional is PBE-GGA.

Unit cell a=14.5196 b=14.5196 c=14.5196 alpha=16.96 beta=16.96 gamma=16.96
Fractional positions:
Sm (0.1202, 0.1202, 0.1202)
Sm (0.3666, 0.3666, 0.3666)
Sm (0.6334, 0.6334, 0.6334)
Sm (0.8798, 0.8798, 0.8798)
Te (0.2562, 0.2562, 0.2562)
Te (0.5000, 0.5000, 0.5000)
Te (0.7438, 0.7438, 0.7438)

Calculated values
* M_tot: 0.0 μB per formula unit

***

arrangement i comes first in stability; the runner-up is 60 meV/atom higher.

***

Arrangement i

This record from Alexandria via LeMat-Bulk describes a geometry-optimized Sm3Te4 structure. The functional is PBE-GGA.

Unit cell a=15.0291 b=15.0291 c=15.0291 alpha=17.02 beta=17.02 gamma=17.02
Fractional positions:
Sm (0.0000, 0.0000, 0.0000)
Sm (0.2463, 0.2463, 0.2463)
Sm (0.7537, 0.7537, 0.7537)
Te (0.1238, 0.1238, 0.1238)
Te (0.3751, 0.3751, 0.3751)
Te (0.6249, 0.6249, 0.6249)
Te (0.8762, 0.8762, 0.8762)

Calculated values
* M_tot: 0.0 μB per formula unit

***

Arrangement ii

This record from Alexandria via LeMat-Bulk describes a geometry-optimized Sm3Te4 structure. The functional is PBE-GGA.

Unit cell a=8.1881 b=8.1881 c=8.1881 alpha=109.47 beta=109.47 gamma=109.47
Fractional positions:
Sm (0.1250, 0.7500, 0.8750)
Sm (0.2500, 0.6250, 0.3750)
Sm (0.3750, 0.2500, 0.6250)
Sm (0.6250, 0.3750, 0.2500)
Sm (0.7500, 0.8750, 0.1250)
Sm (0.8750, 0.1250, 0.7500)
Te (0.0000, 0.3523, 0.5000)
Te (0.0000, 0.8523, 0.5000)
Te (0.1477, 0.1477, 0.1477)
Te (0.3523, 0.5000, 0.0000)
Te (0.5000, 0.0000, 0.3523)
Te (0.5000, 0.0000, 0.8523)
Te (0.6477, 0.6477, 0.6477)
Te (0.8523, 0.5000, 0.0000)

Calculated values
* M_tot: 0.0 μB per formula unit

***

arrangement ii comes first in stability; the runner-up is 20 meV/atom higher.